Record 1
Here is a relaxed PtC8S4F12 crystal from the Open Quantum Materials Database. Energies are from PBE-GGA.

Output
SG = P2_1/c, No. 14
E = -285.2 eV/cell

```
data_PtC8S4F12
_chemical_formula_sum 'Pt2 C16 S8 F24'
_symmetry_space_group_name_H-M 'P 1'
_symmetry_Int_Tables_number 1
_cell_length_a 4.541
_cell_length_b 14.508
_cell_length_c 9.598
_cell_angle_alpha 90.00
_cell_angle_beta 100.03
_cell_angle_gamma 90.00
loop_
_symmetry_equiv_pos_as_xyz
'x,y,z'
loop_
_atom_site_label
_atom_site_type_symbol
_atom_site_fract_x
_atom_site_fract_y
_atom_site_fract_z
C1 C 0.016 0.082 0.763
C2 C 0.847 0.840 0.172
C3 C 0.847 0.660 0.672
C4 C 0.063 0.256 0.781
C5 C 0.776 0.419 0.133
C6 C 0.063 0.244 0.281
C7 C 0.153 0.160 0.828
C8 C 0.776 0.081 0.633
C9 C 0.224 0.581 0.867
C10 C 0.984 0.918 0.237
C11 C 0.016 0.418 0.263
C12 C 0.153 0.340 0.328
C13 C 0.937 0.756 0.719
C14 C 0.937 0.744 0.219
C15 C 0.224 0.919 0.367
C16 C 0.984 0.582 0.737
S1 S 0.876 0.025 0.180
S2 S 0.563 0.652 0.533
S3 S 0.876 0.475 0.680
S4 S 0.437 0.348 0.467
S5 S 0.124 0.525 0.320
S6 S 0.437 0.152 0.967
S7 S 0.124 0.975 0.820
S8 S 0.563 0.848 0.033
F1 F 0.207 0.781 0.688
F2 F 0.958 0.734 0.362
F3 F 0.895 0.412 0.013
F4 F 0.105 0.912 0.487
F5 F 0.207 0.719 0.188
F6 F 0.430 0.851 0.371
F7 F 0.570 0.351 0.129
F8 F 0.430 0.649 0.871
F9 F 0.895 0.088 0.513
F10 F 0.958 0.766 0.862
F11 F 0.625 0.000 0.628
F12 F 0.737 0.819 0.656
F13 F 0.375 0.000 0.372
F14 F 0.263 0.181 0.344
F15 F 0.625 0.500 0.128
F16 F 0.793 0.281 0.812
F17 F 0.042 0.234 0.138
F18 F 0.042 0.266 0.638
F19 F 0.793 0.219 0.312
F20 F 0.570 0.149 0.629
F21 F 0.375 0.500 0.872
F22 F 0.105 0.588 0.987
F23 F 0.263 0.319 0.844
F24 F 0.737 0.681 0.156
Pt1 Pt 0.500 0.000 0.000
Pt2 Pt 0.500 0.500 0.500
```

=====

Record 2
Here is a relaxed ReSnSe3S crystal from the Open Quantum Materials Database. Energies are from PBE-GGA.

Output
SG = P-1, No. 2
E = -65.4 eV/cell

```
data_ReSnSe3S
_chemical_formula_sum 'Re2 Sn2 Se6 S2'
_symmetry_space_group_name_H-M 'P 1'
_symmetry_Int_Tables_number 1
_cell_length_a 6.659
_cell_length_b 7.058
_cell_length_c 7.577
_cell_angle_alpha 117.41
_cell_angle_beta 106.58
_cell_angle_gamma 90.81
loop_
_symmetry_equiv_pos_as_xyz
'x,y,z'
loop_
_atom_site_label
_atom_site_type_symbol
_atom_site_fract_x
_atom_site_fract_y
_atom_site_fract_z
Sn1 Sn 0.498 0.266 0.025
Sn2 Sn 0.502 0.734 0.975
Se1 Se 0.277 0.396 0.293
Se2 Se 0.252 0.336 0.702
Se3 Se 0.242 0.864 0.233
Se4 Se 0.723 0.604 0.707
Se5 Se 0.748 0.664 0.298
Se6 Se 0.758 0.136 0.767
Re1 Re 0.505 0.200 0.499
Re2 Re 0.495 0.800 0.501
S1 S 0.289 0.874 0.718
S2 S 0.711 0.126 0.282
```

=====

Record 3
Here is a relaxed FeCuReAs crystal from the Open Quantum Materials Database. Energies are from PBE-GGA.

Output
SG = F-43m, No. 216
E = -27.7 eV/cell

```
data_FeCuReAs
_chemical_formula_sum 'Fe1 Cu1 Re1 As1'
_symmetry_space_group_name_H-M 'P 1'
_symmetry_Int_Tables_number 1
_cell_length_a 4.237
_cell_length_b 4.237
_cell_length_c 4.237
_cell_angle_alpha 60.00
_cell_angle_beta 60.00
_cell_angle_gamma 60.00
loop_
_symmetry_equiv_pos_as_xyz
'x,y,z'
loop_
_atom_site_label
_atom_site_type_symbol
_atom_site_fract_x
_atom_site_fract_y
_atom_site_fract_z
Cu1 Cu 0.750 0.750 0.750
Fe1 Fe 0.500 0.500 0.500
Re1 Re 0.250 0.250 0.250
As1 As 0.000 0.000 0.000
```

=====

Record 4
Here is a relaxed InCuTeMoSe2 crystal from the Open Quantum Materials Database. Energies are from PBE-GGA.

Output
SG = Cmcm, No. 63
E = -56.6 eV/cell

```
data_InCuTeMoSe2
_chemical_formula_sum 'In2 Cu2 Te2 Mo2 Se4'
_symmetry_space_group_name_H-M 'P 1'
_symmetry_Int_Tables_number 1
_cell_length_a 7.849
_cell_length_b 7.849
_cell_length_c 10.123
_cell_angle_alpha 90.00
_cell_angle_beta 90.00
_cell_angle_gamma 153.73
loop_
_symmetry_equiv_pos_as_xyz
'x,y,z'
loop_
_atom_site_label
_atom_site_type_symbol
_atom_site_fract_x
_atom_site_fract_y
_atom_site_fract_z
Cu1 Cu 0.543 0.457 0.250
Cu2 Cu 0.457 0.543 0.750
Te1 Te 0.918 0.082 0.250
Te2 Te 0.082 0.918 0.750
In1 In 0.227 0.773 0.250
In2 In 0.773 0.227 0.750
Se1 Se 0.622 0.378 0.454
Se2 Se 0.378 0.622 0.546
Se3 Se 0.622 0.378 0.046
Se4 Se 0.378 0.622 0.954
Mo1 Mo 0.000 0.000 0.500
Mo2 Mo 0.000 0.000 0.000
```

=====

Record 5
Here is a relaxed Pa2Si3Pd crystal from the Open Quantum Materials Database. Energies are from PBE-GGA.

Output
SG = Fmmm, No. 69
E = -88.7 eV/cell

```
data_Pa2Si3Pd
_chemical_formula_sum 'Pa4 Si6 Pd2'
_symmetry_space_group_name_H-M 'P 1'
_symmetry_Int_Tables_number 1
_cell_length_a 8.168
_cell_length_b 8.092
_cell_length_c 5.718
_cell_angle_alpha 70.12
_cell_angle_beta 68.71
_cell_angle_gamma 41.17
loop_
_symmetry_equiv_pos_as_xyz
'x,y,z'
loop_
_atom_site_label
_atom_site_type_symbol
_atom_site_fract_x
_atom_site_fract_y
_atom_site_fract_z
Si1 Si 0.672 0.161 0.839
Si2 Si 0.839 0.328 0.672
Si3 Si 0.168 0.168 0.832
Si4 Si 0.161 0.672 0.328
Si5 Si 0.832 0.832 0.168
Si6 Si 0.328 0.839 0.161
Pd1 Pd 0.338 0.338 0.662
Pd2 Pd 0.662 0.662 0.338
Pa1 Pa 0.750 0.750 0.750
Pa2 Pa 0.250 0.250 0.250
Pa3 Pa 0.244 0.756 0.756
Pa4 Pa 0.756 0.244 0.244
```

=====

Record 6
Here is a relaxed YLuMgNi crystal from the Open Quantum Materials Database. Energies are from PBE-GGA.

Output
SG = F-43m, No. 216
E = -17.8 eV/cell

```
data_YLuMgNi
_chemical_formula_sum 'Y1 Lu1 Mg1 Ni1'
_symmetry_space_group_name_H-M 'P 1'
_symmetry_Int_Tables_number 1
_cell_length_a 4.943
_cell_length_b 4.943
_cell_length_c 4.943
_cell_angle_alpha 60.00
_cell_angle_beta 60.00
_cell_angle_gamma 60.00
loop_
_symmetry_equiv_pos_as_xyz
'x,y,z'
loop_
_atom_site_label
_atom_site_type_symbol
_atom_site_fract_x
_atom_site_fract_y
_atom_site_fract_z
Y1 Y 0.000 0.000 0.000
Mg1 Mg 0.750 0.750 0.750
Lu1 Lu 0.250 0.250 0.250
Ni1 Ni 0.500 0.500 0.500
```

=====

Record 7
Here is a relaxed Mo2OsPt5 crystal from the Open Quantum Materials Database. Energies are from PBE-GGA.

Output
SG = Amm2, No. 38
energy of formation = -1.4 eV per formula unit

```
data_Mo2OsPt5
_chemical_formula_sum 'Mo2 Os1 Pt5'
_symmetry_space_group_name_H-M 'P 1'
_symmetry_Int_Tables_number 1
_cell_length_a 4.524
_cell_length_b 5.588
_cell_length_c 5.588
_cell_angle_alpha 59.26
_cell_angle_beta 90.00
_cell_angle_gamma 90.00
loop_
_symmetry_equiv_pos_as_xyz
'x,y,z'
loop_
_atom_site_label
_atom_site_type_symbol
_atom_site_fract_x
_atom_site_fract_y
_atom_site_fract_z
Mo1 Mo 0.500 0.328 0.328
Mo2 Mo 0.000 0.671 0.671
Pt1 Pt 0.500 0.332 0.832
Pt2 Pt 0.000 0.664 0.175
Pt3 Pt 0.500 0.832 0.332
Pt4 Pt 0.500 0.826 0.826
Pt5 Pt 0.000 0.175 0.664
Os1 Os 0.000 0.172 0.172
```

=====

Record 8
Here is a relaxed Ba2NiSe4 crystal from the Open Quantum Materials Database. Energies are from PBE-GGA.

Output
SG = P2_1/m, No. 11
E = -63.0 eV/cell

```
data_Ba2NiSe4
_chemical_formula_sum 'Ba4 Ni2 Se8'
_symmetry_space_group_name_H-M 'P 1'
_symmetry_Int_Tables_number 1
_cell_length_a 6.696
_cell_length_b 6.730
_cell_length_c 9.513
_cell_angle_alpha 90.00
_cell_angle_beta 109.92
_cell_angle_gamma 90.00
loop_
_symmetry_equiv_pos_as_xyz
'x,y,z'
loop_
_atom_site_label
_atom_site_type_symbol
_atom_site_fract_x
_atom_site_fract_y
_atom_site_fract_z
Ba1 Ba 0.704 0.750 0.415
Ba2 Ba 0.296 0.250 0.585
Ba3 Ba 0.221 0.250 0.045
Ba4 Ba 0.779 0.750 0.955
Ni1 Ni 0.203 0.750 0.793
Ni2 Ni 0.797 0.250 0.207
Se1 Se 0.036 0.510 0.277
Se2 Se 0.620 0.250 0.373
Se3 Se 0.380 0.750 0.627
Se4 Se 0.334 0.750 0.052
Se5 Se 0.666 0.250 0.948
Se6 Se 0.964 0.490 0.723
Se7 Se 0.964 0.010 0.723
Se8 Se 0.036 0.990 0.277
```

=====

Record 9
Here is a relaxed Ho5In4Pd2 crystal from the Open Quantum Materials Database. Energies are from PBE-GGA.

Output
SG = Pbam, No. 55
E = -103.6 eV/cell

```
data_Ho5In4Pd2
_chemical_formula_sum 'Ho10 In8 Pd4'
_symmetry_space_group_name_H-M 'P 1'
_symmetry_Int_Tables_number 1
_cell_length_a 18.170
_cell_length_b 8.037
_cell_length_c 3.636
_cell_angle_alpha 90.00
_cell_angle_beta 90.00
_cell_angle_gamma 90.00
loop_
_symmetry_equiv_pos_as_xyz
'x,y,z'
loop_
_atom_site_label
_atom_site_type_symbol
_atom_site_fract_x
_atom_site_fract_y
_atom_site_fract_z
In1 In 0.649 0.579 0.500
In2 In 0.932 0.711 0.500
In3 In 0.432 0.789 0.500
In4 In 0.568 0.211 0.500
In5 In 0.068 0.289 0.500
In6 In 0.351 0.421 0.500
In7 In 0.149 0.921 0.500
In8 In 0.851 0.079 0.500
Ho1 Ho 0.917 0.384 0.000
Ho2 Ho 0.220 0.241 0.000
Ho3 Ho 0.083 0.616 0.000
Ho4 Ho 0.500 0.500 0.000
Ho5 Ho 0.417 0.116 0.000
Ho6 Ho 0.720 0.259 0.000
Ho7 Ho 0.280 0.741 0.000
Ho8 Ho 0.583 0.884 0.000
Ho9 Ho 0.000 0.000 0.000
Ho10 Ho 0.780 0.759 0.000
Pd1 Pd 0.696 0.975 0.500
Pd2 Pd 0.804 0.475 0.500
Pd3 Pd 0.196 0.525 0.500
Pd4 Pd 0.304 0.025 0.500
```

=====

Record 10
Here is a relaxed Ac2SnPd6 crystal from the Open Quantum Materials Database. Energies are from PBE-GGA.

Output
SG = C2/m, No. 12
E = -50.1 eV/cell

```
data_Ac2SnPd6
_chemical_formula_sum 'Ac2 Sn1 Pd6'
_symmetry_space_group_name_H-M 'P 1'
_symmetry_Int_Tables_number 1
_cell_length_a 5.965
_cell_length_b 5.965
_cell_length_c 6.191
_cell_angle_alpha 90.05
_cell_angle_beta 90.05
_cell_angle_gamma 59.98
loop_
_symmetry_equiv_pos_as_xyz
'x,y,z'
loop_
_atom_site_label
_atom_site_type_symbol
_atom_site_fract_x
_atom_site_fract_y
_atom_site_fract_z
Pd1 Pd 0.825 0.349 0.321
Pd2 Pd 0.175 0.651 0.679
Pd3 Pd 0.825 0.825 0.319
Pd4 Pd 0.175 0.175 0.681
Pd5 Pd 0.349 0.825 0.321
Pd6 Pd 0.651 0.175 0.679
Sn1 Sn 0.000 0.000 0.000
Ac1 Ac 0.332 0.332 0.199
Ac2 Ac 0.668 0.668 0.801
```

=====

Record 11
Here is a relaxed Ta2Ge2O5 crystal from the Open Quantum Materials Database. Energies are from PBE-GGA.

Output
SG = P4/mmm, No. 123
E = -62.9 eV/cell

```
data_Ta2Ge2O5
_chemical_formula_sum 'Ta2 Ge2 O5'
_symmetry_space_group_name_H-M 'P 1'
_symmetry_Int_Tables_number 1
_cell_length_a 5.917
_cell_length_b 4.053
_cell_length_c 4.053
_cell_angle_alpha 90.00
_cell_angle_beta 90.00
_cell_angle_gamma 90.00
loop_
_symmetry_equiv_pos_as_xyz
'x,y,z'
loop_
_atom_site_label
_atom_site_type_symbol
_atom_site_fract_x
_atom_site_fract_y
_atom_site_fract_z
Ge1 Ge 0.801 0.500 0.500
Ge2 Ge 0.199 0.500 0.500
Ta1 Ta 0.000 0.000 0.000
Ta2 Ta 0.500 0.000 0.000
O1 O 0.500 0.500 0.500
O2 O 0.764 0.500 0.000
O3 O 0.764 0.000 0.500
O4 O 0.236 0.000 0.500
O5 O 0.236 0.500 0.000
```

=====

Record 12
Here is a relaxed CdHgW2 crystal from the Open Quantum Materials Database. Energies are from PBE-GGA.

Output
SG = F-43m, No. 216
energy of formation = 3.6 eV per formula unit

```
data_CdHgW2
_chemical_formula_sum 'Cd1 Hg1 W2'
_symmetry_space_group_name_H-M 'P 1'
_symmetry_Int_Tables_number 1
_cell_length_a 4.684
_cell_length_b 4.684
_cell_length_c 4.684
_cell_angle_alpha 60.00
_cell_angle_beta 60.00
_cell_angle_gamma 60.00
loop_
_symmetry_equiv_pos_as_xyz
'x,y,z'
loop_
_atom_site_label
_atom_site_type_symbol
_atom_site_fract_x
_atom_site_fract_y
_atom_site_fract_z
Cd1 Cd 0.750 0.750 0.750
W1 W 0.500 0.500 0.500
W2 W 0.250 0.250 0.250
Hg1 Hg 0.000 0.000 0.000
```

=====

Number 1: calculated volume 622.7 Å³ per cell, mass density 3.5 g cm⁻³, size of the total moment 0.03 μB/cell. Number 2: calculated volume 298.5 Å³ per cell, mass density 6.4 g cm⁻³, size of the total moment 0.00 μB/cell. Number 3: calculated volume 53.8 Å³ per cell, mass density 11.7 g cm⁻³, size of the total moment 2.47 μB/cell. Number 4: calculated volume 276.0 Å³ per cell, mass density 6.7 g cm⁻³, size of the total moment 2.66 μB/cell. Number 5: calculated volume 230.4 Å³ per cell, mass density 9.4 g cm⁻³, size of the total moment 0.34 μB/cell. Number 6: calculated volume 85.4 Å³ per cell, mass density 6.7 g cm⁻³, size of the total moment 0.00 μB/cell. Number 7: calculated volume 121.4 Å³ per cell, mass density 18.6 g cm⁻³, size of the total moment 0.02 μB/cell. Number 8: calculated volume 403.1 Å³ per cell, mass density 5.3 g cm⁻³, size of the total moment 0.01 μB/cell. Number 9: calculated volume 530.9 Å³ per cell, mass density 9.4 g cm⁻³, size of the total moment 0.31 μB/cell. Number 10: calculated volume 190.7 Å³ per cell, mass density 10.5 g cm⁻³, size of the total moment 0.01 μB/cell. Number 11: calculated volume 97.2 Å³ per cell, mass density 10.0 g cm⁻³, size of the total moment 1.41 μB/cell. Number 12: calculated volume 72.7 Å³ per cell, mass density 15.6 g cm⁻³, size of the total moment 0.00 μB/cell.